#a
Computed, not measured: a relaxed structure of HfTiMn at the PBE-GGA level of DFT.

Geometry as POSCAR:
```
HfTiMn
1.0
-5.1333 -0.2568 -0.4161
-0.1337 -3.8178 4.0058
-0.6451 5.0821 4.8220
Ti Mn Hf
4 4 4
direct
0.1208 0.7500 0.7179
0.1208 0.2500 0.7179
0.8792 0.2500 0.2179
0.8792 0.7500 0.2179
0.1496 0.5000 0.0047
0.8504 0.5000 0.5047
0.1498 0.0000 0.4311
0.8502 0.0000 0.9311
0.3721 0.5000 0.3602
0.6279 0.5000 0.8602
0.6279 0.0000 0.5756
0.3721 0.0000 0.0756
```

- crystal system = orthorhombic

#b
Computed, not measured: a relaxed structure of HfTiMn at the PBE-GGA level of DFT.

Geometry as POSCAR:
```
HfTiMn
1.0
-2.3483 1.8911 3.9980
1.7250 -1.1395 4.6881
2.1277 3.9109 2.5358
Hf Ti Mn
2 2 2
direct
0.8829 0.3671 0.3671
0.1171 0.6329 0.6329
0.5000 0.5000 0.0000
0.5000 0.0000 0.5000
0.0000 0.0000 0.0000
0.5000 0.0000 0.0000
```

- crystal system = orthorhombic

#c
Computed, not measured: a relaxed structure of HfTiMn at the PBE-GGA level of DFT.

Geometry as POSCAR:
```
HfTiMn
1.0
-2.4609 2.8272 -3.3970
-1.0317 -4.9520 0.0473
-6.2634 1.3590 5.6684
Hf Ti Mn
4 4 4
direct
0.6676 0.3324 0.7045
0.3343 0.6657 0.8270
0.3343 0.6657 0.1730
0.6676 0.3324 0.2955
0.0050 0.9950 0.7669
0.0050 0.9950 0.2331
0.1716 0.3462 0.5000
0.6538 0.8284 0.5000
0.1581 0.8419 0.5000
0.8272 0.6508 0.0000
0.3492 0.1728 0.0000
0.8264 0.1736 0.0000
```

- crystal system = orthorhombic

Pick #b: it beats the second-best structure by 41 meV per atom.

#a
Computed, not measured: a relaxed structure of Hf2TiMn at the PBE-GGA level of DFT.

Geometry as POSCAR:
```
Hf2TiMn
1.0
3.1104 0.0000 0.0000
1.5552 2.6936 0.0000
1.5552 0.8979 8.7558
Mn Hf Ti
1 2 1
direct
0.0000 0.0000 0.0000
0.2603 0.2603 0.2192
0.7397 0.7397 0.7808
0.5000 0.5000 0.5000
```

- crystal system = trigonal

#b
Computed, not measured: a relaxed structure of Hf2TiMn at the PBE-GGA level of DFT.

Geometry as POSCAR:
```
Hf2TiMn
1.0
-0.9957 -1.2794 4.3319
-3.1003 2.3909 2.4628
-4.1187 -1.8672 0.9711
Mn Hf Ti
1 2 1
direct
0.5000 0.5000 0.5000
0.2500 0.2500 0.2500
0.7500 0.7500 0.7500
0.0000 0.0000 0.0000
```

- crystal system = cubic

Pick #b: it beats the second-best structure by 110 meV per atom.

#a
Computed, not measured: a relaxed structure of HfTi3Mn at the PBE-GGA level of DFT.

Geometry as POSCAR:
```
HfTi3Mn
1.0
-2.8023 2.9671 -3.1832
-4.8066 -1.4876 2.8448
3.1148 5.2125 2.1165
Hf Ti Mn
2 6 2
direct
0.2500 0.4101 0.8203
0.7500 0.5899 0.1797
0.2500 0.8257 0.6514
0.7500 0.1743 0.3486
0.2500 0.3764 0.2727
0.7500 0.6236 0.7273
0.2500 0.8963 0.2727
0.7500 0.1037 0.7273
0.0000 0.0000 0.0000
0.5000 0.0000 0.0000
```

- crystal system = orthorhombic

#b
Computed, not measured: a relaxed structure of HfTi3Mn at the PBE-GGA level of DFT.

Geometry as POSCAR:
```
HfTi3Mn
1.0
4.7375 0.0000 0.0000
0.0000 4.7375 0.0000
0.0000 0.0000 4.7375
Mn Hf Ti
1 1 3
direct
0.5000 0.5000 0.5000
0.0000 0.0000 0.0000
0.0000 0.5000 0.0000
0.0000 0.0000 0.5000
0.5000 0.0000 0.0000
```

- crystal system = cubic

Pick #a: it beats the second-best structure by 1714 meV per atom.

#a
Computed, not measured: a relaxed structure of TmHf2Mn at the PBE-GGA level of DFT.

Geometry as POSCAR:
```
TmHf2Mn
1.0
3.1977 0.0000 0.0000
0.0000 3.1977 0.0000
0.0000 0.0000 8.2025
Tm Hf Mn
1 2 1
direct
0.5000 0.5000 0.5000
0.0000 0.0000 0.8169
0.0000 0.0000 0.1831
0.5000 0.5000 0.0000
```

- crystal system = tetragonal

#b
Computed, not measured: a relaxed structure of TmHf2Mn at the PBE-GGA level of DFT.

Geometry as POSCAR:
```
TmHf2Mn
1.0
-1.5233 2.4475 1.3417
-3.1308 0.3524 -0.4296
-3.2956 -4.6225 8.4585
Tm Hf Mn
1 2 1
direct
0.0000 0.0000 0.0000
0.1052 0.1052 0.6844
0.8948 0.8948 0.3156
0.5000 0.5000 0.5000
```

- crystal system = trigonal

Pick #a: it beats the second-best structure by 300 meV per atom.

#a
Computed, not measured: a relaxed structure of HfMn2V at the PBE-GGA level of DFT.

Geometry as POSCAR:
```
HfMn2V
1.0
-0.2735 -2.2783 -1.9490
0.6083 -1.9586 2.2041
-5.9586 -0.3927 1.2954
Mn Hf V
2 1 1
direct
0.0000 0.0000 0.7738
0.0000 0.0000 0.2262
0.5000 0.5000 0.5000
0.5000 0.5000 0.0000
```

- crystal system = tetragonal

#b
Computed, not measured: a relaxed structure of HfMn2V at the PBE-GGA level of DFT.

Geometry as POSCAR:
```
HfMn2V
1.0
-3.0037 0.2514 0.4218
-0.2599 -4.2138 0.6612
0.6385 0.6166 4.1800
Mn Hf V
2 1 1
direct
0.0000 0.0000 0.5000
0.0000 0.5000 0.0000
0.5000 0.5000 0.5000
0.5000 0.0000 0.0000
```

- crystal system = tetragonal

Pick #a: it beats the second-best structure by 48 meV per atom.

#a
Computed, not measured: a relaxed structure of HfMn2V at the PBE-GGA level of DFT.

Geometry as POSCAR:
```
HfMn2V
1.0
4.2634 0.0000 0.0000
0.0000 4.2634 0.0000
2.1317 2.1317 7.6132
Mn Hf V
4 2 2
direct
0.3751 0.1250 0.2500
0.3749 0.6250 0.2500
0.3750 0.6249 0.7500
0.8750 0.6251 0.7500
0.0000 0.0000 0.0000
0.7500 0.2500 0.5000
0.5000 0.5000 0.0000
0.2500 0.7500 0.5000
```

- crystal system = tetragonal

#b
Computed, not measured: a relaxed structure of HfMn2V at the PBE-GGA level of DFT.

Geometry as POSCAR:
```
HfMn2V
1.0
4.7032 0.0000 0.0000
0.0000 4.6462 0.0000
0.0000 0.0000 11.0159
Hf Mn V
4 8 4
direct
0.0000 0.2500 0.7145
0.5000 0.7500 0.0900
0.0000 0.7500 0.2855
0.5000 0.2500 0.9100
0.0000 0.0000 0.0000
0.5000 0.5000 0.5000
0.2362 0.7500 0.8393
0.7638 0.2500 0.1607
0.7638 0.7500 0.8393
0.2362 0.2500 0.1607
0.0000 0.5000 0.0000
0.5000 0.0000 0.5000
0.5000 0.7500 0.6801
0.5000 0.2500 0.3199
0.0000 0.2500 0.4450
0.0000 0.7500 0.5550
```

- crystal system = orthorhombic

#c
Computed, not measured: a relaxed structure of HfMn2V at the PBE-GGA level of DFT.

Geometry as POSCAR:
```
HfMn2V
1.0
-3.3220 0.7583 2.5840
-3.9932 -0.4374 -1.4667
-2.4344 -3.2420 1.3604
Mn Hf V
2 1 1
direct
0.2500 0.2500 0.2500
0.7500 0.7500 0.7500
0.0000 0.0000 0.0000
0.5000 0.5000 0.5000
```

- crystal system = cubic

Pick #c: it beats the second-best structure by 305 meV per atom.

#a
Computed, not measured: a relaxed structure of HfMnV4 at the PBE-GGA level of DFT.

Geometry as POSCAR:
```
HfMnV4
1.0
-2.3538 1.1574 3.2298
-5.7622 -1.6155 -3.6205
0.2140 -5.6531 2.1818
Hf Mn V
2 2 8
direct
0.0000 0.6175 0.7500
0.0000 0.3825 0.2500
0.0000 0.2499 0.7500
0.0000 0.7501 0.2500
0.0000 0.0000 0.5000
0.0000 0.0000 0.0000
0.5000 0.9684 0.7500
0.5000 0.0316 0.2500
0.5000 0.6933 0.0478
0.5000 0.3067 0.9522
0.5000 0.6933 0.4522
0.5000 0.3067 0.5478
```

- crystal system = orthorhombic

#b
Computed, not measured: a relaxed structure of HfMnV4 at the PBE-GGA level of DFT.

Geometry as POSCAR:
```
HfMnV4
1.0
-2.9831 -3.8963 0.9018
1.0178 -3.1001 3.7745
-2.9059 -0.0310 4.0557
Mn Hf V
1 1 4
direct
0.2500 0.2500 0.2500
0.0000 0.0000 0.0000
0.6253 0.6253 0.1242
0.6253 0.1242 0.6253
0.6253 0.6253 0.6253
0.1242 0.6253 0.6253
```

- crystal system = cubic

Pick #a: it beats the second-best structure by 36 meV per atom.

#a
Computed, not measured: a relaxed structure of HfMnV3 at the PBE-GGA level of DFT.

Geometry as POSCAR:
```
HfMnV3
1.0
-0.1119 3.3923 2.7094
-1.3208 -2.6085 3.2113
4.1357 -0.7413 1.0990
Mn Hf V
1 1 3
direct
0.0000 0.0000 0.0000
0.5000 0.5000 0.5000
0.0000 0.5000 0.0000
0.0000 0.0000 0.5000
0.5000 0.0000 0.0000
```

- crystal system = cubic

#b
Computed, not measured: a relaxed structure of HfMnV3 at the PBE-GGA level of DFT.

Geometry as POSCAR:
```
HfMnV3
1.0
4.6748 0.0000 0.0000
0.0000 4.6748 0.0000
0.0000 0.0000 4.6748
Mn Hf V
1 1 3
direct
0.5000 0.5000 0.5000
0.0000 0.0000 0.0000
0.0000 0.5000 0.0000
0.0000 0.0000 0.5000
0.5000 0.0000 0.0000
```

- crystal system = cubic

Pick #a: it beats the second-best structure by 1232 meV per atom.